Record 1
Material: RbHg2TePt
Method: DFT, GGA-PBE
State: relaxed

Lattice parameters (Å, degrees): 5.370 5.370 5.561 90.00 90.00 90.00
Fractional coordinates of all 5 atoms:
Rb1 0.000 0.000 0.000
Hg1 0.000 0.500 0.500
Hg2 0.500 0.000 0.500
Te1 0.500 0.500 0.000
Pt1 0.500 0.500 0.500

Results
SG	P4/mmm
volume	160.4	Å³ per cell
energy relative to the elements, uncorrected	-0.334	eV/atom

Record 2
Material: Rb2TiHgPt
Method: DFT, GGA-PBE
State: relaxed

Lattice parameters (Å, degrees): 6.434 6.434 5.286 90.00 90.00 90.00
Fractional coordinates of all 5 atoms:
Rb1 0.000 0.500 0.000
Rb2 0.500 0.000 0.000
Ti1 0.000 0.000 0.500
Hg1 0.500 0.500 0.500
Pt1 0.500 0.500 0.000

Results
energy relative to the lowest polymorph listed for this composition	2.91	eV per formula unit
DFT formation energy	0.885	eV/atom
SG	P4/mmm
volume	218.8	Å³ per cell

Record 3
Material: Rb2TiHgPt
Method: DFT, GGA-PBE
State: relaxed

Lattice parameters (Å, degrees): 6.644 6.644 4.886 90.00 90.00 90.00
Fractional coordinates of all 5 atoms:
Rb1 0.000 0.500 0.000
Rb2 0.500 0.000 0.000
Ti1 0.000 0.000 0.500
Hg1 0.500 0.500 0.500
Pt1 0.000 0.000 0.000

Results
energy relative to the lowest polymorph listed for this composition	0.00	eV per formula unit
DFT formation energy	0.302	eV/atom
SG	P4/mmm
volume	215.7	Å³ per cell

Number 1: size of the total moment 0.0 Bohr magnetons per cell. Number 2: size of the total moment 0.1 Bohr magnetons per cell. Number 3: size of the total moment 2.4 Bohr magnetons per cell.